# 1
Here is a crystal of CoTeBr2 relaxed with PBEsol from Alexandria. Energies are from meta-GGA SCAN.

magnetization: 0.55 μB per formula unit
total DFT energy (no corrections): -23.46 eV per atom
DOS at the Fermi energy: 3.2 states/eV per cell

abc: 9.3828 9.3828 9.3828
angles: 20.91 20.91 20.91
With the nearest neighbours (Å) after each atom.
Fractional positions:
Co1 0.0000 0.0000 0.0000  6 Br 2.39
Te1 0.5000 0.5000 0.5000  6 Te 3.41, 6 Br 3.77
Br1 0.2837 0.2837 0.2837  3 Co 2.39
Br2 0.7163 0.7163 0.7163  3 Co 2.39

# 2
Here is a crystal of CoTeBr2 relaxed with PBEsol from Alexandria. Energies are from meta-GGA SCAN.

magnetization: 3.00 μB per formula unit
total DFT energy (no corrections): -23.36 eV per atom
DOS at the Fermi energy: 1.0 states/eV per cell

abc: 3.1216 3.1216 10.2422
angles: 90.00 90.00 90.00
With the nearest neighbours (Å) after each atom.
Fractional positions:
Co1 0.0000 0.0000 0.0000  8 Br 2.71
Te1 0.0000 0.0000 0.5000  4 Te 3.12
Br1 0.5000 0.5000 0.1532  4 Co 2.71
Br2 0.5000 0.5000 0.8468  4 Co 2.71

# 3
Here is a crystal of CoTeBr2 relaxed with PBEsol from Alexandria. Energies are from meta-GGA SCAN.

magnetization: 2.27 μB per formula unit
total DFT energy (no corrections): -22.61 eV per atom
DOS at the Fermi energy: 4.4 states/eV per cell

abc: 5.1443 5.1443 3.3150
angles: 90.00 90.00 90.00
With the nearest neighbours (Å) after each atom.
Fractional positions:
Co1 0.0000 0.0000 0.0000  8 Br 3.06, 2 Co 3.32
Te1 0.5000 0.5000 0.0000  8 Br 3.06, 2 Te 3.32
Br1 0.0000 0.5000 0.5000  4 Co 3.06, 4 Te 3.06, 2 Br 3.32
Br2 0.5000 0.0000 0.5000  4 Co 3.06, 4 Te 3.06, 2 Br 3.32

# 4
Here is a crystal of CoTe2Br relaxed with PBEsol from Alexandria. Energies are from meta-GGA SCAN.

distance to the lowest polymorph of the same formula: 0.000 eV per atom
magnetization: 0.00 μB per formula unit
DOS at the Fermi energy: 2.7 states/eV per cell

abc: 7.7218 7.7218 7.7218
angles: 28.11 28.11 28.11
With the nearest neighbours (Å) after each atom.
Fractional positions:
Co1 0.0000 0.0000 0.0000  6 Te 2.51
Te1 0.2760 0.2760 0.2760  3 Co 2.51
Te2 0.7240 0.7240 0.7240  3 Co 2.51
Br1 0.5000 0.5000 0.5000  6 Te 3.26

# 5
Here is a crystal of CoTeBr2 relaxed with PBEsol from Alexandria. Energies are from meta-GGA SCAN.

magnetization: 1.00 μB per formula unit
total DFT energy (no corrections): -23.56 eV per atom
DOS at the Fermi energy: 0.0 states/eV per cell

abc: 6.7300 6.7300 6.7300
angles: 149.30 132.18 57.90
With the nearest neighbours (Å) after each atom.
Fractional positions:
Co1 0.0000 0.0000 0.0000  2 Br 2.40, 2 Te 2.43
Te1 0.1407 0.6407 0.5000  2 Co 2.43
Br1 0.5813 0.5813 0.0000  2 Te 2.82
Br2 0.8633 0.3633 0.5000  2 Co 2.40

# 6
Here is a crystal of CoWBr3 relaxed with PBEsol from Alexandria. Energies are from meta-GGA SCAN.

magnetization: 6.14 μB per formula unit
total DFT energy (no corrections): -28.09 eV per atom
DOS at the Fermi energy: 6.9 states/eV per cell

abc: 5.0036 5.0036 5.0036
angles: 90.00 90.00 90.00
With the nearest neighbours (Å) after each atom.
Fractional positions:
Co1 0.0000 0.0000 0.0000  12 Br 3.54
W1 0.5000 0.5000 0.5000  6 Br 2.50
Br1 0.0000 0.5000 0.5000  2 W 2.50
Br2 0.5000 0.0000 0.5000  2 W 2.50
Br3 0.5000 0.5000 0.0000  2 W 2.50